Crystalline PmErHgPb at its relaxed geometry, computed with PBE-GGA.

Raw total energy (eV/atom): -3.80
Density (Mg/m³): 10.8

Lattice parameters (Å, degrees): 3.8397 3.8397 7.4767 90.00 90.00 90.00
Element x y z (fractional)
Pm (0.0000, 0.0000, 0.0000)
Er (0.0000, 0.0000, 0.5177)
Hg (0.5000, 0.5000, 0.7415)
Pb (0.5000, 0.5000, 0.2679)